First-principles (GGA-PBE) data for a relaxed BaNaAg3 crystal, as listed in the Alexandria database.

The structure in POSCAR format:
```
BaNaAg3
1.0
5.346 0.000 0.000
0.000 5.346 0.000
0.000 0.000 5.346
Ba Na Ag
1 1 3
direct
0.000 0.000 0.000 Ba
0.500 0.500 0.500 Na
0.000 0.500 0.500 Ag
0.500 0.000 0.500 Ag
0.500 0.500 0.000 Ag
```

- symmetry = Pm-3m
- energy of formation from the pure elements (eV/atom) = 0.146
- polymorph energy (0 for the lowest one) (meV per atom) = 295